A plane-wave DFT calculation with SCAN was carried out for Cr2CoBiMo at its PBEsol-relaxed geometry.

Unit cell a=4.308 b=4.308 c=4.752 alpha=90.00 beta=90.00 gamma=90.00
Last column: magnetic moment on the atom in μB.
Positions (direct):
Co 0.000 0.000 0.000  -0.35
Cr 0.000 0.500 0.000  3.40
Cr 0.500 0.000 0.000  3.40
Bi 0.000 0.000 0.500  0.02
Mo 0.500 0.500 0.500  -2.80

## Properties
Energy of formation (eV/atom): 1.187

---

A plane-wave DFT calculation with SCAN was carried out for ZnCo2Tc at its PBEsol-relaxed geometry.

Unit cell a=2.588 b=2.588 c=8.438 alpha=81.18 beta=81.18 gamma=60.00
Last column: magnetic moment on the atom in μB.
Positions (direct):
Tc 0.495 0.495 0.515  0.08
Zn 0.254 0.254 0.237  -0.02
Co 0.747 0.747 0.760  1.79
Co 0.004 0.004 0.989  1.78

## Properties
Energy of formation (eV/atom): 0.123

---

A plane-wave DFT calculation with SCAN was carried out for SbAs2Pb at its PBEsol-relaxed geometry.

Unit cell a=3.134 b=5.796 c=5.796 alpha=112.69 beta=99.31 gamma=99.31
Positions (direct):
As 0.000 0.000 0.500
As 0.000 0.500 0.000
Pb 0.500 0.500 0.500
Sb 0.500 0.000 0.000

## Properties
Uncorrected formation energy (eV/atom): 0.396
ΔE to the lowest computed polymorph (meV/atom): 358.8

---

A plane-wave DFT calculation with SCAN was carried out for TeIrBr2 at its PBEsol-relaxed geometry.

Unit cell a=4.883 b=4.883 c=4.883 alpha=60.00 beta=60.00 gamma=60.00
Positions (direct):
Ir 0.000 0.000 0.000
Br 0.250 0.250 0.250
Br 0.750 0.750 0.750
Te 0.500 0.500 0.500

## Properties
Uncorrected formation energy (eV/atom): 1.351

---

A plane-wave DFT calculation with SCAN was carried out for Ag3As at its PBEsol-relaxed geometry.

Unit cell a=2.899 b=5.098 c=5.465 alpha=117.80 beta=105.38 gamma=90.00
Positions (direct):
As 0.000 0.675 0.000
Ag 0.500 0.163 0.000
Ag 0.747 0.745 0.495
Ag 0.253 0.250 0.505

## Properties
Energy of formation (eV/atom): 0.095

---

A plane-wave DFT calculation with SCAN was carried out for SrMnFe2As at its PBEsol-relaxed geometry.

Unit cell a=4.247 b=4.247 c=5.334 alpha=90.00 beta=90.00 gamma=90.00
Last column: magnetic moment on the atom in μB.
Positions (direct):
Mn 0.000 0.000 0.000  -2.48
Sr 0.000 0.000 0.500  -0.04
Fe 0.000 0.500 0.000  2.41
Fe 0.500 0.000 0.000  2.41
As 0.500 0.500 0.500  -0.07

## Properties
Energy of formation (eV/atom): 0.991

---

A plane-wave DFT calculation with SCAN was carried out for BeGeAs2Se at its PBEsol-relaxed geometry.

Unit cell a=4.451 b=4.451 c=4.627 alpha=90.00 beta=90.00 gamma=90.00
Positions (direct):
As 0.500 0.000 0.000
As 0.000 0.500 0.000
Be 0.000 0.000 0.000
Se 0.000 0.000 0.500
Ge 0.500 0.500 0.500

## Properties
Uncorrected formation energy (eV/atom): 0.528

---

A plane-wave DFT calculation with SCAN was carried out for ZnCuAu2 at its PBEsol-relaxed geometry.

Unit cell a=2.871 b=2.871 c=8.600 alpha=80.39 beta=80.39 gamma=60.00
Positions (direct):
Cu 0.000 0.000 0.000
Au 0.749 0.749 0.754
Au 0.251 0.251 0.246
Zn 0.500 0.500 0.500

## Properties
Energy of formation (eV/atom): -0.075

---

Number 1: DOS at the Fermi energy 0.95 states/eV/atom. Number 2: DOS at the Fermi energy 0.59 states/eV/atom. Number 3: DOS at the Fermi energy 0.52 states/eV/atom. Number 4: DOS at the Fermi energy 0.72 states/eV/atom. Number 5: DOS at the Fermi energy 0.24 states/eV/atom. Number 6: DOS at the Fermi energy 1.07 states/eV/atom. Number 7: DOS at the Fermi energy 0.52 states/eV/atom. Number 8: DOS at the Fermi energy 0.23 states/eV/atom.